# K4La3DyS8 (GGA-PBE, relaxed)
# raw formation energy: -1.907 eV/atom
data_K4La3DyS8
_chemical_formula_sum 'K12 La9 Dy3 S24'
_cell_length_a 8.4706
_cell_length_b 8.4706
_cell_length_c 22.1152
_cell_angle_alpha 90.00
_cell_angle_beta 90.00
_cell_angle_gamma 120.00
_symmetry_space_group_name_H-M 'R -3 m'
_symmetry_Int_Tables_number 166
_symmetry_space_group_name_Hall '-R 3 2"'
loop_
_atom_site_label
_atom_site_fract_x
_atom_site_fract_y
_atom_site_fract_z
K1 0.0000 0.0000 0.0000
K2 0.0000 0.5000 0.0000
La1 0.0000 0.5000 0.5000
Dy1 0.0000 0.0000 0.5000
S1 0.0000 0.0000 0.2365
S2 0.0109 0.5054 0.2350

***

# K4LaDy3Se8 (GGA-PBE, relaxed)
# raw formation energy: -1.776 eV/atom
data_K4LaDy3Se8
_chemical_formula_sum 'K12 La3 Dy9 Se24'
_cell_length_a 8.5433
_cell_length_b 8.5433
_cell_length_c 23.0589
_cell_angle_alpha 90.00
_cell_angle_beta 90.00
_cell_angle_gamma 120.00
_symmetry_space_group_name_H-M 'R -3 m'
_symmetry_Int_Tables_number 166
_symmetry_space_group_name_Hall '-R 3 2"'
loop_
_atom_site_label
_atom_site_fract_x
_atom_site_fract_y
_atom_site_fract_z
K1 0.0000 0.0000 0.0000
K2 0.0000 0.5000 0.0000
La1 0.0000 0.0000 0.5000
Dy1 0.0000 0.5000 0.5000
Se1 0.0000 0.0000 0.2346
Se2 0.0104 0.5052 0.7642

***

# KLa2DySe4 (GGA-PBE, relaxed)
# raw formation energy: -1.795 eV/atom
data_KLa2DySe4
_chemical_formula_sum 'K1 La2 Dy1 Se4'
_cell_length_a 7.423
_cell_length_b 4.273
_cell_length_c 7.545
_cell_angle_alpha 90.00
_cell_angle_beta 108.94
_cell_angle_gamma 90.00
_symmetry_space_group_name_H-M 'P 1 2/m 1'
_symmetry_Int_Tables_number 10
loop_
_symmetry_equiv_pos_as_xyz
'x,y,z'
'-x,-y,-z'
'-x,y,-z'
'x,-y,z'
loop_
_atom_site_label
_atom_site_fract_x
_atom_site_fract_y
_atom_site_fract_z
K1 0.000 0.000 0.000
La1 0.500 0.000 0.500
La2 0.500 0.500 0.000
Dy1 0.000 0.500 0.500
Se1 0.240 0.000 0.735
Se2 0.253 0.500 0.267